# 1
# Pm2SiSe4, relaxed, DFT PBE
# - E_tot: -5.242 eV/atom
# - Density of states at the Fermi level: 0.32 states/eV per atom
# - Energy relative to the elements, uncorrected: -1.1184 eV/atom
data_Pm2SiSe4
_symmetry_space_group_name_H-M 'I 4/m m m'
_symmetry_Int_Tables_number 139
_symmetry_space_group_name_Hall '-I 4 2'
_cell_length_a 6.8593
_cell_length_b 6.8593
_cell_length_c 7.6221
_cell_angle_alpha 90.00
_cell_angle_beta 90.00
_cell_angle_gamma 90.00
loop_
_atom_site_label
_atom_site_fract_x
_atom_site_fract_y
_atom_site_fract_z
Pm1 0.0000 0.5000 0.2500
Si1 0.0000 0.0000 0.0000
Se1 0.2460 0.2460 0.5000


# 2
# Pm8SiSe6, relaxed, DFT PBE
# - E_tot: -5.611 eV/atom
# - Density of states at the Fermi level: 0.75 states/eV per atom
# - Energy relative to the elements, uncorrected: -1.3222 eV/atom
data_Pm8SiSe6
_symmetry_space_group_name_H-M 'P -3'
_symmetry_Int_Tables_number 147
_cell_length_a 10.6263
_cell_length_b 10.6263
_cell_length_c 4.2164
_cell_angle_alpha 90.00
_cell_angle_beta 90.00
_cell_angle_gamma 120.00
loop_
_symmetry_equiv_pos_as_xyz
'x,y,z'
'-x,-y,-z'
'-y,x-y,z'
'y,-x+y,-z'
'-x+y,-x,z'
'x-y,x,-z'
loop_
_atom_site_label
_atom_site_fract_x
_atom_site_fract_y
_atom_site_fract_z
Pm1 0.0313 0.3082 0.2439
Pm2 0.3333 0.6667 0.7518
Si1 0.0000 0.0000 0.0000
Se1 0.1284 0.6481 0.2504


# 3
# PmSmSiSe, relaxed, DFT PBE
# - E_tot: -5.900 eV/atom
# - Density of states at the Fermi level: 0.36 states/eV per atom
# - Energy relative to the elements, uncorrected: -1.3058 eV/atom
data_PmSmSiSe
_symmetry_space_group_name_H-M 'R 3 m'
_symmetry_Int_Tables_number 160
_symmetry_space_group_name_Hall 'R 3 -2"'
_cell_length_a 4.2040
_cell_length_b 4.2040
_cell_length_c 20.9065
_cell_angle_alpha 90.00
_cell_angle_beta 90.00
_cell_angle_gamma 120.00
loop_
_atom_site_label
_atom_site_fract_x
_atom_site_fract_y
_atom_site_fract_z
Pm1 0.0000 0.0000 0.0000
Sm1 0.0000 0.0000 0.5073
Si1 0.0000 0.0000 0.2533
Se1 0.0000 0.0000 0.7542


What is the energy relative to the elements, uncorrected in the third record?
-1.3058 eV/atom


What is the formula in the second record?
Pm8SiSe6